A plane-wave DFT calculation with PBE was carried out for a relaxed Pu5Re crystal.

The structure in CIF format:
```
data_Pu5Re
_cell_length_a 5.0859
_cell_length_b 14.8846
_cell_length_c 3.1756
_cell_angle_alpha 90.00
_cell_angle_beta 90.00
_cell_angle_gamma 90.00
_space_group_name_H-M_alt 'C m m m'
_space_group_IT_number 65
_space_group_name_Hall '-C 2 2'
loop_
_atom_site_label
_atom_site_type_symbol
_atom_site_fract_x
_atom_site_fract_y
_atom_site_fract_z
Pu1 Pu 0.0000 0.0000 0.0000
Pu2 Pu 0.0000 0.1604 0.5000
Pu3 Pu 0.0000 0.3400 0.0000
Re1 Re 0.0000 0.5000 0.5000
```

DFT formation energy = 199 meV/atom
total moment = 4.3 μB/f.u.
calculated total energy = -165.83 eV/cell